Here is crystalline SrMg2SnAu4 at its relaxed geometry from Alexandria via LeMat-Bulk. Energies are from PBE.

The calculated formation energy is -0.499 eV/atom. The total energy is -77.93 eV per cell. As for the density of states at the Fermi level: 8.98 states/eV/cell.

The space group is R-3m (No. 166, hexagonal axes) and the conventional cell measures 4.5763, 4.5763 and 30.1860 Å, with angles of 90.00, 90.00 and 120.00 degrees. Symmetry generates all atoms from Sr at (0.0000, 0.0000, 0.0000), Mg at (0.0000, 0.0000, 0.2395), Sn at (0.0000, 0.0000, 0.5000), Au at (0.0000, 0.0000, 0.1224) and Au at (0.0000, 0.0000, 0.3976).